# CuTe2Au | Alexandria | GGA-PBE | relaxed
data_CuTe2Au
_cell_length_a 8.177
_cell_length_b 3.959
_cell_length_c 6.698
_cell_angle_alpha 90.00
_cell_angle_beta 110.03
_cell_angle_gamma 90.00
_symmetry_space_group_name_H-M 'C 1 2/m 1'
_symmetry_Int_Tables_number 12
loop_
_symmetry_equiv_pos_as_xyz
'x,y,z'
'-x,-y,-z'
'-x,y,-z'
'x,-y,z'
'x+1/2,y+1/2,z'
'-x+1/2,-y+1/2,-z'
'-x+1/2,y+1/2,-z'
'x+1/2,-y+1/2,z'
loop_
_atom_site_label
_atom_site_type_symbol
_atom_site_fract_x
_atom_site_fract_y
_atom_site_fract_z
Cu1 Cu 0.000 0.000 0.000
Te1 Te 0.170 0.500 0.226
Au1 Au 0.000 0.500 0.500
# E_form (uncorrected): -0.034 eV per atom

# KMoRu4 | Alexandria | GGA-PBE | relaxed
data_KMoRu4
_cell_length_a 7.369
_cell_length_b 7.369
_cell_length_c 7.369
_cell_angle_alpha 90.00
_cell_angle_beta 90.00
_cell_angle_gamma 90.00
_symmetry_space_group_name_H-M 'F -4 3 m'
_symmetry_Int_Tables_number 216
_symmetry_space_group_name_Hall 'F -4 2 3'
loop_
_atom_site_label
_atom_site_type_symbol
_atom_site_fract_x
_atom_site_fract_y
_atom_site_fract_z
K1 K 0.000 0.000 0.000
Mo1 Mo 0.250 0.250 0.750
Ru1 Ru 0.124 0.124 0.376
# Energy of formation from the pure elements: 0.92 eV/atom

# Li2DyZn | Alexandria | GGA-PBE | relaxed
data_Li2DyZn
_cell_length_a 6.706
_cell_length_b 6.706
_cell_length_c 6.706
_cell_angle_alpha 90.00
_cell_angle_beta 90.00
_cell_angle_gamma 90.00
_symmetry_space_group_name_H-M 'F m -3 m'
_symmetry_Int_Tables_number 225
_symmetry_space_group_name_Hall '-F 4 2 3'
loop_
_atom_site_label
_atom_site_type_symbol
_atom_site_fract_x
_atom_site_fract_y
_atom_site_fract_z
Li1 Li 0.250 0.250 0.250
Dy1 Dy 0.000 0.000 0.000
Zn1 Zn 0.000 0.000 0.500
# Energy of formation from the pure elements: 0.01 eV/atom
# Energy above the most stable polymorph in this dataset: 0 meV/atom

# PaMnS4 | Alexandria | GGA-PBE | relaxed
data_PaMnS4
_cell_length_a 8.690
_cell_length_b 8.690
_cell_length_c 7.566
_cell_angle_alpha 90.00
_cell_angle_beta 90.00
_cell_angle_gamma 90.00
_symmetry_space_group_name_H-M 'I 41/a m d'
_symmetry_Int_Tables_number 141
loop_
_symmetry_equiv_pos_as_xyz
'x,y,z'
'-x,-y,-z'
'-y+1/4,x+3/4,z+1/4'
'y+1/4,-x+3/4,-z+1/4'
'-x+1/2,-y,z+1/2'
'x+1/2,y,-z+1/2'
'y+1/4,-x+1/4,z+3/4'
'-y+1/4,x+1/4,-z+3/4'
'x,-y,-z'
'-x,y,z'
'-y+1/4,-x+1/4,-z+3/4'
'y+1/4,x+1/4,z+3/4'
'-x+1/2,y,-z+1/2'
'x+1/2,-y,z+1/2'
'y+1/4,x+3/4,-z+1/4'
'-y+1/4,-x+3/4,z+1/4'
'x+1/2,y+1/2,z+1/2'
'-x+1/2,-y+1/2,-z+1/2'
'-y+3/4,x+1/4,z+3/4'
'y+3/4,-x+1/4,-z+3/4'
'-x,-y+1/2,z'
'x,y+1/2,-z'
'y+3/4,-x+3/4,z+1/4'
'-y+3/4,x+3/4,-z+1/4'
'x+1/2,-y+1/2,-z+1/2'
'-x+1/2,y+1/2,z+1/2'
'-y+3/4,-x+3/4,-z+1/4'
'y+3/4,x+3/4,z+1/4'
'-x,y+1/2,-z'
'x,-y+1/2,z'
'y+3/4,x+1/4,-z+3/4'
'-y+3/4,-x+1/4,z+3/4'
loop_
_atom_site_label
_atom_site_type_symbol
_atom_site_fract_x
_atom_site_fract_y
_atom_site_fract_z
Pa1 Pa 0.000 0.250 0.375
Mn1 Mn 0.000 0.250 0.875
S1 S 0.000 0.062 0.677
# Energy above the most stable polymorph in this dataset: 0 meV/atom
# E_form (uncorrected): -1.015 eV per atom

# CaLa2MgSe | Alexandria | GGA-PBE | relaxed
data_CaLa2MgSe
_cell_length_a 5.817
_cell_length_b 5.817
_cell_length_c 5.256
_cell_angle_alpha 90.00
_cell_angle_beta 90.00
_cell_angle_gamma 90.00
_symmetry_space_group_name_H-M 'P 4/m m m'
_symmetry_Int_Tables_number 123
_symmetry_space_group_name_Hall '-P 4 2'
loop_
_atom_site_label
_atom_site_type_symbol
_atom_site_fract_x
_atom_site_fract_y
_atom_site_fract_z
Ca1 Ca 0.000 0.000 0.000
La1 La 0.000 0.500 0.500
Mg1 Mg 0.500 0.500 0.000
Se1 Se 0.500 0.500 0.500
# E_form (uncorrected): -0.468 eV per atom

Number 1: energy -13.79 eV per formula unit, D(E_F) 2.827 states/eV/cell. Number 2: energy -43.50 eV per formula unit, D(E_F) 31.699 states/eV/cell. Number 3: energy -9.67 eV per formula unit, D(E_F) 18.747 states/eV/cell. Number 4: energy -41.27 eV per formula unit, D(E_F) 10.795 states/eV/cell. Number 5: energy -19.27 eV per formula unit, D(E_F) 5.885 states/eV/cell.